Material: CdAs2Rh
Method: DFT, PBE
State: optimized geometry

Summary:
Its energy of formation from the pure elements is 40 kJ/mol of formula units. The calculated density is 8467 kg/m³. The total DFT energy (no corrections) comes out at -4.29 eV/atom.

Cell: 6.5888 4.7083 3.3546 Å, 89.79 59.73 121.34°
Last column: nearest neighbours and their distance in Å.
Fractional positions:
As 0.0000 0.0000 0.0000  2 As 2.85, 4 Rh 2.89-2.90, 4 Cd 2.89-2.90
As 0.5000 0.0000 0.5000  2 As 2.85, 4 Cd 2.89-2.90, 4 Rh 2.89-2.90
Rh 0.5000 0.5000 0.0000  2 Cd 2.85, 8 As 2.89-2.90
Cd 0.0000 0.5000 0.5000  2 Rh 2.85, 8 As 2.89-2.90

Material: Tb2Sm2Y4Ho
Method: DFT, PBE
State: optimized geometry

Summary:
Its energy of formation from the pure elements is -2 kJ/mol of formula units. The calculated density is 6481 kg/m³. The total DFT energy (no corrections) comes out at -5.46 eV/atom.

Cell: 3.6070 9.5383 9.5898 Å, 115.23 90.00 100.90°
Last column: nearest neighbours and their distance in Å.
Fractional positions:
Tb 0.8519 0.7038 0.3350  7 Y 3.54-3.61, 3 Sm 3.56-3.58, 2 Tb 3.61
Tb 0.1481 0.2962 0.6650  7 Y 3.54-3.61, 3 Sm 3.56-3.58, 2 Tb 3.61
Sm 0.3343 0.6685 0.0018  3 Y 3.54-3.57, 3 Tb 3.56-3.58, 2 Ho 3.60, 4 Sm 3.61-3.62
Sm 0.6657 0.3315 0.9982  3 Y 3.54-3.57, 3 Tb 3.56-3.58, 2 Ho 3.60, 4 Sm 3.61-3.62
Y 0.8147 0.6293 0.6661  3 Tb 3.54-3.60, 6 Y 3.55-3.61, 1 Ho 3.56, 2 Sm 3.57
Y 0.1853 0.3707 0.3339  3 Tb 3.54-3.60, 6 Y 3.55-3.61, 1 Ho 3.56, 2 Sm 3.57
Y 0.5190 0.0380 0.3343  4 Tb 3.54-3.61, 1 Sm 3.54, 5 Y 3.55-3.61, 2 Ho 3.56
Y 0.4810 0.9620 0.6657  4 Tb 3.54-3.61, 1 Sm 3.54, 5 Y 3.55-3.61, 2 Ho 3.56
Ho 0.0000 0.0000 0.0000  6 Y 3.56, 4 Sm 3.60, 2 Ho 3.61

Material: La2PrSm5Mg
Method: DFT, PBE
State: optimized geometry

Summary:
Its energy of formation from the pure elements is 74 kJ/mol of formula units. The calculated density is 6417 kg/m³. The total DFT energy (no corrections) comes out at -4.34 eV/atom.

Cell: 5.6317 10.5373 10.8143 Å, 90.00 90.00 105.50°
Last column: nearest neighbours and their distance in Å.
Fractional positions:
La 0.8842 0.7683 0.8026  9 Sm 3.45-3.79, 1 Pr 3.63
La 0.1157 0.2314 0.7171  9 Sm 3.46-3.77, 1 Pr 3.62
La 0.1158 0.2317 0.3026  9 Sm 3.45-3.79, 1 Pr 3.63
La 0.8843 0.7686 0.2171  9 Sm 3.46-3.77, 1 Pr 3.62
Pr 0.7975 0.5950 0.5093  8 Sm 3.54-3.83, 2 Mg 3.58, 2 La 3.62-3.63
Pr 0.2025 0.4050 0.0093  8 Sm 3.54-3.83, 2 Mg 3.58, 2 La 3.62-3.63
Sm 0.3844 0.7688 0.0095  6 Sm 3.58-3.85, 4 La 3.60, 1 Pr 3.69
Sm 0.7125 0.4251 0.8102  1 Mg 3.19, 2 Sm 3.42, 1 La 3.49, 2 Pr 3.55
Sm 0.4979 0.9958 0.7563  2 Mg 3.31, 2 Sm 3.58, 2 La 3.68
Sm 0.2904 0.5807 0.7067  1 Mg 3.22, 2 Sm 3.42, 2 Pr 3.54, 3 La 3.55
Sm 0.9861 0.9722 0.5091  2 Mg 3.25, 2 La 3.45-3.46
Sm 0.6156 0.2312 0.5095  6 Sm 3.58-3.85, 4 La 3.60, 1 Pr 3.69
Sm 0.2875 0.5749 0.3102  1 Mg 3.19, 2 Sm 3.42, 1 La 3.49, 2 Pr 3.55
Sm 0.5021 0.0042 0.2563  2 Mg 3.31, 2 Sm 3.58, 2 La 3.68
Sm 0.7096 0.4193 0.2067  1 Mg 3.22, 2 Sm 3.42, 2 Pr 3.54, 3 La 3.55
Sm 0.0139 0.0278 0.0091  2 Mg 3.25, 2 La 3.45-3.46
Mg 0.5938 0.1877 0.0031  6 Sm 3.19-3.31
Mg 0.4062 0.8123 0.5031  6 Sm 3.19-3.31